Record 1
The following is a GGA-PBEsol calculation of a relaxed TlPdICl2 crystal, from the Alexandria database.

The structure in CIF format:
```
data_TlPdICl2
_space_group_name_H-M_alt 'P 4/m m m'
_space_group_IT_number 123
_space_group_name_Hall '-P 4 2'
_cell_length_a 5.038
_cell_length_b 5.038
_cell_length_c 6.219
_cell_angle_alpha 90.00
_cell_angle_beta 90.00
_cell_angle_gamma 90.00
loop_
_atom_site_label
_atom_site_type_symbol
_atom_site_fract_x
_atom_site_fract_y
_atom_site_fract_z
_atom_site_occupancy
Tl1 Tl 0.000 0.000 0.000 1
Pd1 Pd 0.500 0.500 0.500 1
I1 I 0.000 0.000 0.500 1
Cl1 Cl 0.000 0.500 0.000 1
```

Output
total moment: 0.65 μB per cell
VASP energy: -2.663 eV per atom

---

Record 2
The following is a GGA-PBEsol calculation of a relaxed Tc3PtN crystal, from the Alexandria database.

The structure in CIF format:
```
data_Tc3PtN
_space_group_name_H-M_alt 'P m -3 m'
_space_group_IT_number 221
_space_group_name_Hall '-P 4 2 3'
_cell_length_a 3.980
_cell_length_b 3.980
_cell_length_c 3.980
_cell_angle_alpha 90.00
_cell_angle_beta 90.00
_cell_angle_gamma 90.00
loop_
_atom_site_label
_atom_site_type_symbol
_atom_site_fract_x
_atom_site_fract_y
_atom_site_fract_z
_atom_site_occupancy
Tc1 Tc 0.000 0.000 0.500 1
Pt1 Pt 0.500 0.500 0.500 1
N1 N 0.000 0.000 0.000 1
```

Output
total moment: 0.00 μB per cell
VASP energy: -10.046 eV per atom